Here is crystalline Sr2Bi2Pb at its relaxed geometry from Alexandria. Energies are from PBE.

Results
energy above the most stable polymorph in this dataset: 208.1 meV per atom
magnetization: 0.000 μB per formula unit
VASP energy: -3.390 eV per atom
formation energy from the elements: -0.423 eV per atom
V: 36.18 A^3/atom

CIF file:
```
data_Sr2Bi2Pb
_cell_length_a 9.4079
_cell_length_b 9.4079
_cell_length_c 4.0874
_cell_angle_alpha 90.00
_cell_angle_beta 90.00
_cell_angle_gamma 90.00
_symmetry_space_group_name_H-M 'P 1'
_symmetry_Int_Tables_number 1
_symmetry_space_group_name_Hall 'P 1'
loop_
_atom_site_label
_atom_site_type_symbol
_atom_site_fract_x
_atom_site_fract_y
_atom_site_fract_z
Sr1 Sr 0.6334 0.1334 0.0000
Sr2 Sr 0.1334 0.3666 0.0000
Sr3 Sr 0.8666 0.6334 0.0000
Sr4 Sr 0.3666 0.8666 0.0000
Bi1 Bi 0.8284 0.3284 0.5000
Bi2 Bi 0.3284 0.1716 0.5000
Bi3 Bi 0.6716 0.8284 0.5000
Bi4 Bi 0.1716 0.6716 0.5000
Pb1 Pb 0.5000 0.5000 0.0000
Pb2 Pb 0.0000 0.0000 0.0000
```

***

Here is crystalline AlTl3Ag at its relaxed geometry from Alexandria. Energies are from PBE.

Results
energy above the most stable polymorph in this dataset: 58.5 meV per atom
magnetization: 0.000 μB per formula unit
VASP energy: -2.262 eV per atom
formation energy from the elements: 0.477 eV per atom
V: 32.88 A^3/atom

CIF file:
```
data_AlTl3Ag
_cell_length_a 5.4780
_cell_length_b 5.4780
_cell_length_c 5.4780
_cell_angle_alpha 90.00
_cell_angle_beta 90.00
_cell_angle_gamma 90.00
_symmetry_space_group_name_H-M 'P 1'
_symmetry_Int_Tables_number 1
_symmetry_space_group_name_Hall 'P 1'
loop_
_atom_site_label
_atom_site_type_symbol
_atom_site_fract_x
_atom_site_fract_y
_atom_site_fract_z
Tl1 Tl 0.5000 0.0000 0.0000
Tl2 Tl 0.0000 0.0000 0.5000
Tl3 Tl 0.0000 0.5000 0.0000
Al1 Al 0.5000 0.5000 0.5000
Ag1 Ag 0.0000 0.0000 0.0000
```

***

Here is crystalline Cs2AlAuS at its relaxed geometry from Alexandria. Energies are from PBE.

Results
magnetization: 0.068 μB per formula unit
VASP energy: -2.695 eV per atom
V: 42.05 A^3/atom

CIF file:
```
data_Cs2AlAuS
_cell_length_a 6.5079
_cell_length_b 4.9646
_cell_length_c 6.5079
_cell_angle_alpha 90.00
_cell_angle_beta 90.00
_cell_angle_gamma 90.00
_symmetry_space_group_name_H-M 'P 1'
_symmetry_Int_Tables_number 1
_symmetry_space_group_name_Hall 'P 1'
loop_
_atom_site_label
_atom_site_type_symbol
_atom_site_fract_x
_atom_site_fract_y
_atom_site_fract_z
Au1 Au 0.0000 0.0000 0.0000
Cs1 Cs 0.0000 0.0000 0.5000
Cs2 Cs 0.5000 0.0000 0.0000
Al1 Al 0.0000 0.5000 0.0000
S1 S 0.5000 0.5000 0.5000
```

***

Here is crystalline InFe2Pb at its relaxed geometry from Alexandria. Energies are from PBE.

Results
energy above the most stable polymorph in this dataset: 203.9 meV per atom
magnetization: 4.779 μB per formula unit
VASP energy: -5.358 eV per atom
formation energy from the elements: 0.485 eV per atom
V: 19.18 A^3/atom

CIF file:
```
data_InFe2Pb
_cell_length_a 3.3054
_cell_length_b 3.5861
_cell_length_c 6.8496
_cell_angle_alpha 70.93
_cell_angle_beta 90.00
_cell_angle_gamma 90.00
_symmetry_space_group_name_H-M 'P 1'
_symmetry_Int_Tables_number 1
_symmetry_space_group_name_Hall 'P 1'
loop_
_atom_site_label
_atom_site_type_symbol
_atom_site_fract_x
_atom_site_fract_y
_atom_site_fract_z
Fe1 Fe 0.0000 0.8735 0.0625
Fe2 Fe 0.0000 0.6265 0.4375
In1 In 0.5000 0.2500 0.2500
Pb1 Pb 0.5000 0.7500 0.7500
```

***

Here is crystalline SrLa2HoAs4 at its relaxed geometry from Alexandria. Energies are from PBE.

Results
magnetization: 0.000 μB per formula unit
VASP energy: -5.691 eV per atom
formation energy from the elements: -1.352 eV per atom
V: 28.69 A^3/atom

CIF file:
```
data_SrLa2HoAs4
_cell_length_a 4.3377
_cell_length_b 7.4302
_cell_length_c 7.5592
_cell_angle_alpha 70.42
_cell_angle_beta 90.00
_cell_angle_gamma 90.00
_symmetry_space_group_name_H-M 'P 1'
_symmetry_Int_Tables_number 1
_symmetry_space_group_name_Hall 'P 1'
loop_
_atom_site_label
_atom_site_type_symbol
_atom_site_fract_x
_atom_site_fract_y
_atom_site_fract_z
Sr1 Sr 0.5000 0.5000 0.0000
La1 La 0.0000 0.0000 0.0000
La2 La 0.5000 0.0000 0.5000
As1 As 0.5000 0.2573 0.7372
As2 As 0.0000 0.2487 0.2628
As3 As 0.5000 0.7427 0.2628
As4 As 0.0000 0.7513 0.7372
Ho1 Ho 0.0000 0.5000 0.5000
```

***

Here is crystalline CuPSO at its relaxed geometry from Alexandria. Energies are from PBE.

Results
energy above the most stable polymorph in this dataset: 24.5 meV per atom
magnetization: 0.000 μB per formula unit
VASP energy: -5.301 eV per atom
V: 17.08 A^3/atom

CIF file:
```
data_CuPSO
_cell_length_a 5.6269
_cell_length_b 3.1654
_cell_length_c 9.0173
_cell_angle_alpha 90.00
_cell_angle_beta 121.69
_cell_angle_gamma 90.00
_symmetry_space_group_name_H-M 'P 1'
_symmetry_Int_Tables_number 1
_symmetry_space_group_name_Hall 'P 1'
loop_
_atom_site_label
_atom_site_type_symbol
_atom_site_fract_x
_atom_site_fract_y
_atom_site_fract_z
P1 P 0.3589 0.5000 0.2656
P2 P 0.3589 0.0000 0.7656
S1 S 0.0529 0.5000 0.6201
S2 S 0.0529 0.0000 0.1201
O1 O 0.5473 0.0000 0.6859
O2 O 0.5473 0.5000 0.1859
Cu1 Cu 0.5943 0.0000 0.0518
Cu2 Cu 0.5943 0.5000 0.5518
```

***

Here is crystalline Ba6TlAg3 at its relaxed geometry from Alexandria. Energies are from PBE.

Results
magnetization: 0.000 μB per formula unit
VASP energy: -2.446 eV per atom
formation energy from the elements: -0.201 eV per atom
V: 45.02 A^3/atom

CIF file:
```
data_Ba6TlAg3
_cell_length_a 4.7576
_cell_length_b 13.1265
_cell_length_c 15.4006
_cell_angle_alpha 110.59
_cell_angle_beta 90.00
_cell_angle_gamma 90.00
_symmetry_space_group_name_H-M 'P 1'
_symmetry_Int_Tables_number 1
_symmetry_space_group_name_Hall 'P 1'
loop_
_atom_site_label
_atom_site_type_symbol
_atom_site_fract_x
_atom_site_fract_y
_atom_site_fract_z
Ag1 Ag 0.2500 0.9322 0.9753
Ag2 Ag 0.2500 0.6521 0.1435
Ag3 Ag 0.7500 0.0678 0.0247
Ag4 Ag 0.7500 0.3479 0.8565
Ag5 Ag 0.7500 0.6891 0.5273
Ag6 Ag 0.2500 0.3109 0.4727
Ba1 Ba 0.7500 0.7476 0.3124
Ba2 Ba 0.7500 0.1128 0.4367
Ba3 Ba 0.2500 0.1609 0.9062
Ba4 Ba 0.2500 0.5167 0.3887
Ba5 Ba 0.7500 0.4833 0.6113
Ba6 Ba 0.2500 0.2524 0.6876
Ba7 Ba 0.7500 0.4387 0.0962
Ba8 Ba 0.7500 0.8391 0.0938
Ba9 Ba 0.2500 0.8872 0.5633
Ba10 Ba 0.2500 0.1603 0.2007
Ba11 Ba 0.7500 0.8397 0.7993
Ba12 Ba 0.2500 0.5613 0.9038
Tl1 Tl 0.2500 0.9347 0.2873
Tl2 Tl 0.7500 0.0653 0.7127
```

***

Here is crystalline Na4TiP2O9 at its relaxed geometry from Alexandria. Energies are from PBE.

Results
energy above the most stable polymorph in this dataset: 0.0 meV per atom
magnetization: 0.000 μB per formula unit
VASP energy: -6.686 eV per atom
V: 13.24 A^3/atom

CIF file:
```
data_Na4TiP2O9
_cell_length_a 7.6585
_cell_length_b 13.3780
_cell_length_c 20.7510
_cell_angle_alpha 84.94
_cell_angle_beta 90.00
_cell_angle_gamma 90.00
_symmetry_space_group_name_H-M 'P 1'
_symmetry_Int_Tables_number 1
_symmetry_space_group_name_Hall 'P 1'
loop_
_atom_site_label
_atom_site_type_symbol
_atom_site_fract_x
_atom_site_fract_y
_atom_site_fract_z
Ti1 Ti 0.5401 0.8971 0.7004
Ti2 Ti 0.5234 0.7019 0.5987
Ti3 Ti 0.4599 0.8971 0.2004
Ti4 Ti 0.5401 0.1029 0.7996
Ti5 Ti 0.5234 0.2981 0.9013
Ti6 Ti 0.5000 0.5000 0.0000
Ti7 Ti 0.4599 0.1029 0.2996
Ti8 Ti 0.4766 0.7019 0.0987
Ti9 Ti 0.5000 0.5000 0.5000
Ti10 Ti 0.4766 0.2981 0.4013
O1 O 0.0707 0.1391 0.9117
O2 O 0.0126 0.9272 0.3222
O3 O 0.3649 0.6035 0.9452
O4 O 0.3348 0.6122 0.7845
O5 O 0.2445 0.1881 0.1185
O6 O 0.6307 0.8069 0.0507
O7 O 0.3962 0.7940 0.7517
O8 O 0.9293 0.1391 0.4117
O9 O 0.0254 0.5381 0.1103
O10 O 0.3649 0.3965 0.5548
O11 O 0.6351 0.6035 0.4452
O12 O 0.6038 0.2060 0.2483
O13 O 0.3113 0.9945 0.3525
O14 O 0.7091 0.7282 0.5300
O15 O 0.3378 0.0709 0.8603
O16 O 0.7112 0.4713 0.5564
O17 O 0.9078 0.7283 0.2348
O18 O 0.6622 0.9291 0.1397
O19 O 0.3714 0.8033 0.1448
O20 O 0.3693 0.1931 0.9493
O21 O 0.3714 0.1967 0.3552
O22 O 0.3230 0.5955 0.1445
O23 O 0.2710 0.1272 0.2368
O24 O 0.7555 0.1881 0.6185
O25 O 0.3386 0.6722 0.6653
O26 O 0.4497 0.0000 0.7500
O27 O 0.9352 0.3229 0.0504
O28 O 0.6887 0.9945 0.8525
O29 O 0.6770 0.4045 0.8555
O30 O 0.5797 0.6020 0.0509
O31 O 0.9352 0.6771 0.4496
O32 O 0.4203 0.6020 0.5509
O33 O 0.5503 0.0000 0.2500
O34 O 0.3230 0.4045 0.3555
O35 O 0.9746 0.5381 0.6103
O36 O 0.9078 0.2717 0.2652
O37 O 0.6286 0.1967 0.8552
O38 O 0.2888 0.5287 0.4436
O39 O 0.6887 0.0055 0.6475
O40 O 0.7290 0.8728 0.7632
O41 O 0.3962 0.2060 0.7483
O42 O 0.7112 0.5287 0.9436
O43 O 0.6351 0.3965 0.0548
O44 O 0.2828 0.9848 0.5226
O45 O 0.2828 0.0152 0.9774
O46 O 0.6307 0.1931 0.4493
O47 O 0.3348 0.3878 0.7155
O48 O 0.0126 0.0728 0.1778
O49 O 0.6038 0.7940 0.2517
O50 O 0.7091 0.2718 0.9700
O51 O 0.2710 0.8728 0.2632
O52 O 0.3113 0.0055 0.1475
O53 O 0.3304 0.2139 0.5886
O54 O 0.6770 0.5955 0.6445
O55 O 0.9874 0.9272 0.8222
O56 O 0.7617 0.4160 0.6743
O57 O 0.0922 0.2717 0.7652
O58 O 0.3304 0.7861 0.9114
O59 O 0.9874 0.0728 0.6778
O60 O 0.0648 0.3229 0.5504
O61 O 0.7555 0.8119 0.8815
O62 O 0.7172 0.0152 0.4774
O63 O 0.6286 0.8033 0.6448
O64 O 0.0648 0.6771 0.9496
O65 O 0.0707 0.8609 0.5883
O66 O 0.3378 0.9291 0.6397
O67 O 0.6696 0.7861 0.4114
O68 O 0.2888 0.4713 0.0564
O69 O 0.2445 0.8119 0.3815
O70 O 0.0254 0.4619 0.3897
O71 O 0.4203 0.3980 0.9491
O72 O 0.7172 0.9848 0.0226
O73 O 0.6652 0.3878 0.2155
O74 O 0.6614 0.6722 0.1653
O75 O 0.7290 0.1272 0.7368
O76 O 0.7617 0.5840 0.8257
O77 O 0.6696 0.2139 0.0886
O78 O 0.2383 0.4160 0.1743
O79 O 0.2909 0.2718 0.4700
O80 O 0.3386 0.3278 0.8347
O81 O 0.6652 0.6122 0.2845
O82 O 0.3693 0.8069 0.5507
O83 O 0.9746 0.4619 0.8897
O84 O 0.9293 0.8609 0.0883
O85 O 0.6622 0.0709 0.3603
O86 O 0.5797 0.3980 0.4491
O87 O 0.0922 0.7283 0.7348
O88 O 0.2383 0.5840 0.3257
O89 O 0.6614 0.3278 0.3347
O90 O 0.2909 0.7282 0.0300
Na1 Na 0.2024 0.9015 0.0571
Na2 Na 0.0220 0.2992 0.1619
Na3 Na 0.0546 0.7043 0.1378
Na4 Na 0.5282 0.0951 0.5514
Na5 Na 0.4718 0.9049 0.4486
Na6 Na 0.2142 0.2915 0.0201
Na7 Na 0.9780 0.2992 0.6619
Na8 Na 0.7420 0.5078 0.1362
Na9 Na 0.0151 0.1028 0.7977
Na10 Na 0.4607 0.6994 0.3460
Na11 Na 0.5393 0.3006 0.6540
Na12 Na 0.2756 0.9049 0.8305
Na13 Na 0.2580 0.5078 0.6362
Na14 Na 0.4718 0.0951 0.0514
Na15 Na 0.7244 0.0951 0.1695
Na16 Na 0.2024 0.0985 0.4429
Na17 Na 0.9849 0.1028 0.2977
Na18 Na 0.5393 0.6994 0.8460
Na19 Na 0.7976 0.9015 0.5571
Na20 Na 0.2756 0.0951 0.6695
Na21 Na 0.7858 0.7085 0.9799
Na22 Na 0.7244 0.9049 0.3305
Na23 Na 0.7420 0.4922 0.3638
Na24 Na 0.0000 0.5000 0.5000
Na25 Na 0.7976 0.0985 0.9429
Na26 Na 0.9454 0.2957 0.8622
Na27 Na 0.7858 0.2915 0.5201
Na28 Na 0.5819 0.5000 0.7500
Na29 Na 0.0000 0.5000 0.0000
Na30 Na 0.4607 0.3006 0.1540
Na31 Na 0.5282 0.9049 0.9486
Na32 Na 0.9780 0.7008 0.8381
Na33 Na 0.2142 0.7085 0.4799
Na34 Na 0.0546 0.2957 0.3622
Na35 Na 0.4181 0.5000 0.2500
Na36 Na 0.9454 0.7043 0.6378
Na37 Na 0.0220 0.7008 0.3381
Na38 Na 0.0151 0.8972 0.7023
Na39 Na 0.2580 0.4922 0.8638
Na40 Na 0.9849 0.8972 0.2023
P1 P 0.2584 0.7011 0.9586
P2 P 0.7416 0.2989 0.0414
P3 P 0.7137 0.6994 0.2348
P4 P 0.2584 0.8969 0.5745
P5 P 0.7848 0.5040 0.6227
P6 P 0.2152 0.4960 0.3773
P7 P 0.2863 0.6994 0.7348
P8 P 0.7137 0.3006 0.2652
P9 P 0.2863 0.3006 0.7652
P10 P 0.2065 0.9013 0.3316
P11 P 0.2065 0.0987 0.1684
P12 P 0.7416 0.1031 0.4255
P13 P 0.7416 0.8969 0.0745
P14 P 0.2584 0.1031 0.9255
P15 P 0.7416 0.7011 0.4586
P16 P 0.7935 0.9013 0.8316
P17 P 0.7935 0.0987 0.6684
P18 P 0.2152 0.5040 0.1227
P19 P 0.2584 0.2989 0.5414
P20 P 0.7848 0.4960 0.8773
```

***

Here is crystalline Co2NiAs at its relaxed geometry from Alexandria. Energies are from PBE.

Results
magnetization: 2.881 μB per formula unit
VASP energy: -6.128 eV per atom
formation energy from the elements: 0.033 eV per atom
V: 12.04 A^3/atom

CIF file:
```
data_Co2NiAs
_cell_length_a 3.7234
_cell_length_b 2.7131
_cell_length_c 4.9583
_cell_angle_alpha 74.08
_cell_angle_beta 90.00
_cell_angle_gamma 90.00
_symmetry_space_group_name_H-M 'P 1'
_symmetry_Int_Tables_number 1
_symmetry_space_group_name_Hall 'P 1'
loop_
_atom_site_label
_atom_site_type_symbol
_atom_site_fract_x
_atom_site_fract_y
_atom_site_fract_z
As1 As 0.5000 0.9514 0.7262
Co1 Co 0.5000 0.1962 0.2303
Co2 Co 0.0000 0.8027 0.0170
Ni1 Ni 0.0000 0.5497 0.5265
```

***

Here is crystalline Sr2GaCu6Ir at its relaxed geometry from Alexandria. Energies are from PBE.

Results
magnetization: 0.000 μB per formula unit
VASP energy: -4.074 eV per atom
formation energy from the elements: -0.091 eV per atom
V: 19.41 A^3/atom

CIF file:
```
data_Sr2GaCu6Ir
_cell_length_a 6.2909
_cell_length_b 6.7321
_cell_length_c 6.7178
_cell_angle_alpha 55.81
_cell_angle_beta 62.15
_cell_angle_gamma 90.04
_symmetry_space_group_name_H-M 'P 1'
_symmetry_Int_Tables_number 1
_symmetry_space_group_name_Hall 'P 1'
loop_
_atom_site_label
_atom_site_type_symbol
_atom_site_fract_x
_atom_site_fract_y
_atom_site_fract_z
Cu1 Cu 0.2518 0.3589 0.5024
Cu2 Cu 0.7482 0.6411 0.4976
Cu3 Cu 0.6416 0.7535 0.1072
Cu4 Cu 0.7539 0.2518 0.8883
Cu5 Cu 0.3584 0.2465 0.8928
Cu6 Cu 0.2461 0.7482 0.1117
Sr1 Sr 0.7914 0.2094 0.4174
Sr2 Sr 0.2086 0.7906 0.5826
Ga1 Ga 0.0000 0.0000 0.0000
Ir1 Ir 0.5000 0.5000 0.0000
```

***

Here is crystalline CePrAgAu at its relaxed geometry from Alexandria. Energies are from PBE.

Results
energy above the most stable polymorph in this dataset: 0.0 meV per atom
magnetization: 1.150 μB per formula unit
VASP energy: -4.617 eV per atom
formation energy from the elements: -0.406 eV per atom
V: 26.15 A^3/atom

CIF file:
```
data_CePrAgAu
_cell_length_a 3.7310
_cell_length_b 3.7310
_cell_length_c 7.5130
_cell_angle_alpha 90.00
_cell_angle_beta 90.00
_cell_angle_gamma 90.00
_symmetry_space_group_name_H-M 'P 1'
_symmetry_Int_Tables_number 1
_symmetry_space_group_name_Hall 'P 1'
loop_
_atom_site_label
_atom_site_type_symbol
_atom_site_fract_x
_atom_site_fract_y
_atom_site_fract_z
Au1 Au 0.0000 0.0000 0.8497
Ce1 Ce 0.5000 0.5000 0.6155
Ag1 Ag 0.0000 0.0000 0.3609
Pr1 Pr 0.5000 0.5000 0.1018
```

***

Here is crystalline PmNdHoHg at its relaxed geometry from Alexandria. Energies are from PBE.

Results
energy above the most stable polymorph in this dataset: 0.0 meV per atom
magnetization: 0.002 μB per formula unit
VASP energy: -3.831 eV per atom
formation energy from the elements: -0.232 eV per atom
V: 30.31 A^3/atom

CIF file:
```
data_PmNdHoHg
_cell_length_a 3.6863
_cell_length_b 3.6863
_cell_length_c 8.9209
_cell_angle_alpha 90.00
_cell_angle_beta 90.00
_cell_angle_gamma 90.00
_symmetry_space_group_name_H-M 'P 1'
_symmetry_Int_Tables_number 1
_symmetry_space_group_name_Hall 'P 1'
loop_
_atom_site_label
_atom_site_type_symbol
_atom_site_fract_x
_atom_site_fract_y
_atom_site_fract_z
Nd1 Nd 0.0000 0.0000 0.0781
Pm1 Pm 0.5000 0.5000 0.7915
Hg1 Hg 0.0000 0.0000 0.5591
Ho1 Ho 0.5000 0.5000 0.3561
```